Record 1
Below is crystalline SmMg6Zn2 at its relaxed geometry, with properties calculated at the GGA-PBE level.

DFT formation energy, kJ per mole of atoms: -12
Calculated volume, Å³/atom: 22.251
Final energy, eV/atom: -1.9942
D(E_F), states/eV per atom: 0.516

CIF file:
```
data_SmMg6Zn2
_chemical_formula_sum 'Sm1 Mg6 Zn2'
_cell_length_a 4.344
_cell_length_b 4.344
_cell_length_c 10.613
_cell_angle_alpha 90.00
_cell_angle_beta 90.00
_cell_angle_gamma 90.00
_symmetry_space_group_name_H-M 'P 1'
_symmetry_Int_Tables_number 1
_symmetry_space_group_name_Hall 'P 1'
loop_
_atom_site_label
_atom_site_fract_x
_atom_site_fract_y
_atom_site_fract_z
_atom_site_occupancy
Sm1 0.000 0.000 0.000 1
Mg1 0.000 0.500 0.276 1
Mg2 0.500 0.000 0.276 1
Mg3 0.000 0.500 0.724 1
Mg4 0.500 0.000 0.724 1
Mg5 0.500 0.500 0.500 1
Mg6 0.000 0.000 0.500 1
Zn1 0.500 0.500 0.115 1
Zn2 0.500 0.500 0.885 1
```

Record 2
Below is crystalline Ca5Al2Ag12 at its relaxed geometry, with properties calculated at the GGA-PBE level.

DFT formation energy, kJ per mole of atoms: -19
Calculated volume, Å³/atom: 21.909
Final energy, eV/atom: -2.9192
D(E_F), states/eV per atom: 0.469

CIF file:
```
data_Ca5Al2Ag12
_chemical_formula_sum 'Ca5 Al2 Ag12'
_cell_length_a 6.937
_cell_length_b 7.743
_cell_length_c 8.669
_cell_angle_alpha 63.47
_cell_angle_beta 87.71
_cell_angle_gamma 90.00
_symmetry_space_group_name_H-M 'P 1'
_symmetry_Int_Tables_number 1
_symmetry_space_group_name_Hall 'P 1'
loop_
_atom_site_label
_atom_site_fract_x
_atom_site_fract_y
_atom_site_fract_z
_atom_site_occupancy
Ca1 0.565 0.758 0.484 1
Ca2 0.042 0.697 0.605 1
Ca3 0.500 0.000 0.000 1
Ca4 0.958 0.303 0.395 1
Ca5 0.435 0.242 0.516 1
Al1 0.000 0.700 0.000 1
Al2 0.000 0.300 0.000 1
Ag1 0.096 0.091 0.817 1
Ag2 0.759 0.327 0.718 1
Ag3 0.759 0.955 0.718 1
Ag4 0.348 0.405 0.796 1
Ag5 0.348 0.799 0.796 1
Ag6 0.694 0.555 0.889 1
Ag7 0.306 0.445 0.111 1
Ag8 0.652 0.595 0.204 1
Ag9 0.652 0.201 0.204 1
Ag10 0.241 0.673 0.282 1
Ag11 0.241 0.045 0.282 1
Ag12 0.904 0.909 0.183 1
```